Record 1
This record from Alexandria via LeMat-Bulk describes an optimized crystal structure of MgTaTe2. The functional is PBEsol.

a b c (Å): 5.0138 5.0138 5.0138
angles (deg): 60.00 60.00 60.00
With the nearest neighbours (Å) after each atom.
Atoms (fractional coordinates):
Te (0.7500, 0.7500, 0.7500)  4 Te 3.07, 4 Mg 3.07
Te (0.0000, 0.0000, 0.0000)  4 Ta 3.07, 4 Te 3.07
Ta (0.2500, 0.2500, 0.2500)  4 Mg 3.07, 4 Te 3.07
Mg (0.5000, 0.5000, 0.5000)  4 Te 3.07, 4 Ta 3.07

## Properties
* magnetization: 0.3342 μB/atom
* electronic total energy: -4.69 eV/atom

=====

Record 2
This record from Alexandria via LeMat-Bulk describes an optimized crystal structure of Mg2ZrTaTe. The functional is PBEsol.

a b c (Å): 5.2384 5.2583 5.2583
angles (deg): 90.00 90.00 90.00
With the nearest neighbours (Å) after each atom.
Atoms (fractional coordinates):
Te (0.5000, 0.0000, 0.0000)  2 Zr 2.62
Mg (0.0000, 0.5000, 0.0000)  2 Zr 2.63
Mg (0.0000, 0.0000, 0.5000)  2 Zr 2.63
Zr (0.0000, 0.0000, 0.0000)  2 Te 2.62, 4 Mg 2.63
Ta (0.5000, 0.5000, 0.5000)  8 Mg 3.71, 4 Te 3.72

## Properties
* magnetization: 0.6889 μB/atom
* electronic total energy: -4.17 eV/atom

=====

Record 3
This record from Alexandria via LeMat-Bulk describes an optimized crystal structure of MgTa2Tl. The functional is PBEsol.

a b c (Å): 3.0012 3.0012 10.1642
angles (deg): 81.51 81.51 60.00
With the nearest neighbours (Å) after each atom.
Atoms (fractional coordinates):
Mg (0.0000, 0.0000, 0.0000)  6 Mg 3.00, 6 Ta 3.06
Ta (0.7507, 0.7507, 0.7479)  6 Ta 3.00, 3 Tl 3.03, 3 Mg 3.06
Ta (0.2493, 0.2493, 0.2521)  6 Ta 3.00, 3 Tl 3.03, 3 Mg 3.06
Tl (0.5000, 0.5000, 0.5000)  6 Tl 3.00, 6 Ta 3.03

## Properties
* magnetization: 0.0000 μB/atom
* electronic total energy: -6.88 eV/atom
* energy relative to the elements: 480 meV per atom

=====

Record 4
This record from Alexandria via LeMat-Bulk describes an optimized crystal structure of MgTa2Tl. The functional is PBEsol.

a b c (Å): 2.9925 2.9925 9.4442
angles (deg): 90.00 90.00 110.36
With the nearest neighbours (Å) after each atom.
Atoms (fractional coordinates):
Ta (0.5000, 0.5000, 0.7660)  6 Ta 2.71-2.99, 2 Tl 3.00
Ta (0.0000, 0.0000, 0.9883)  6 Ta 2.71-2.99, 2 Mg 2.93
Tl (0.0000, 0.0000, 0.5052)  4 Tl 2.99, 2 Ta 3.00, 2 Mg 3.03
Mg (0.5000, 0.5000, 0.2405)  2 Ta 2.93, 4 Mg 2.99, 2 Tl 3.03

## Properties
* magnetization: 0.0001 μB/atom
* electronic total energy: -7.15 eV/atom
* energy relative to the elements: 215 meV per atom